# 1
# YIr4W | Alexandria | PBE | optimized geometry
# DOS(E_F)	26.87	states/eV per cell
# crystal system	cubic
# energy of formation from the pure elements	-0.10	eV/atom
data_YIr4W
_space_group_name_H-M_alt 'F -4 3 m'
_space_group_IT_number 216
_space_group_name_Hall 'F -4 2 3'
_cell_length_a 7.4079
_cell_length_b 7.4079
_cell_length_c 7.4079
_cell_angle_alpha 90.00
_cell_angle_beta 90.00
_cell_angle_gamma 90.00
loop_
_atom_site_label
_atom_site_type_symbol
_atom_site_fract_x
_atom_site_fract_y
_atom_site_fract_z
Y1 Y 0.0000 0.0000 0.0000
Ir1 Ir 0.1251 0.1251 0.6251
W1 W 0.2500 0.2500 0.2500

---

# 2
# NaLiBr2 | Alexandria | PBE | optimized geometry
# DOS(E_F)	0.00	states/eV per cell
# excess energy over the best structure of this formula in the dataset	0.2020	eV per atom
# crystal system	tetragonal
data_NaLiBr2
_space_group_name_H-M_alt 'P 4/m m m'
_space_group_IT_number 123
_space_group_name_Hall '-P 4 2'
_cell_length_a 3.6237
_cell_length_b 3.6237
_cell_length_c 7.2700
_cell_angle_alpha 90.00
_cell_angle_beta 90.00
_cell_angle_gamma 90.00
loop_
_atom_site_label
_atom_site_type_symbol
_atom_site_fract_x
_atom_site_fract_y
_atom_site_fract_z
Na1 Na 0.0000 0.0000 0.0000
Li1 Li 0.0000 0.0000 0.5000
Br1 Br 0.5000 0.5000 0.2585

---

# 3
# Pu2TaAl | Alexandria | PBE | optimized geometry
# DOS(E_F)	33.55	states/eV per cell
# crystal system	trigonal
# energy of formation from the pure elements	0.42	eV/atom
data_Pu2TaAl
_space_group_name_H-M_alt 'R -3 m'
_space_group_IT_number 166
_space_group_name_Hall '-R 3 2"'
_cell_length_a 2.9159
_cell_length_b 2.9159
_cell_length_c 34.8847
_cell_angle_alpha 90.00
_cell_angle_beta 90.00
_cell_angle_gamma 120.00
loop_
_atom_site_label
_atom_site_type_symbol
_atom_site_fract_x
_atom_site_fract_y
_atom_site_fract_z
Pu1 Pu 0.0000 0.0000 0.0877
Ta1 Ta 0.0000 0.0000 0.5000
Al1 Al 0.0000 0.0000 0.0000